[1]
## LaMg2InCo (PBE)

Data for crystalline LaMg2InCo at its relaxed geometry.

The formation energy comes out at -2.7 kcal/mol of atoms. As for the energy above the most stable polymorph in this dataset: 0.00 eV/f.u.

It has space group P4/mmm (No. 123), with a = 4.8758 Å, b = 4.8758 Å, c = 4.9485 Å, α = 90.00°, β = 90.00° and γ = 90.00°. Symmetry generates all atoms from La at (0.0000, 0.0000, 0.0000), Mg at (0.0000, 0.5000, 0.5000), In at (0.5000, 0.5000, 0.0000) and Co at (0.5000, 0.5000, 0.5000).

=====

[2]
## La6In2CoN (PBE)

Data for crystalline La6In2CoN at its relaxed geometry.

As for the uncorrected formation energy: -0.51 eV/atom.

It has space group P-1 (No. 2), with a = 7.4185 Å, b = 7.4380 Å, c = 7.4450 Å, α = 119.84°, β = 119.51° and γ = 90.17°. Symmetry generates all atoms from La at (0.1944, 0.2690, 0.4821), La at (0.2485, 0.2614, 0.9911), La at (0.2838, 0.8045, 0.5135), In at (0.2487, 0.7489, 0.9997), Co at (0.5000, 0.5000, 0.5000) and N at (0.0000, 0.0000, 0.5000).